VASP calculation (PBE) on crystalline Dy2LuCu4Ge4 at its relaxed geometry.

Cell lengths 7.9765, 7.9765, 7.9765 Å; angles 149.51, 130.96, 58.85 degrees
With the nearest neighbours (Å) after each atom.
Atoms (fractional coordinates):
Cu1 0.6413 0.3310 0.3103  4 Ge 2.47-2.60, 1 Cu 2.51
Cu2 0.9792 0.6690 0.3103  4 Ge 2.47-2.60, 1 Cu 2.51
Cu3 0.0208 0.3310 0.6897  4 Ge 2.47-2.60, 1 Cu 2.51
Cu4 0.3587 0.6690 0.6897  4 Ge 2.47-2.60, 1 Cu 2.51
Dy1 0.6298 0.1298 0.5000  6 Cu 2.99-3.06, 6 Ge 3.00-3.05
Dy2 0.3702 0.8702 0.5000  6 Cu 2.99-3.06, 6 Ge 3.00-3.05
Ge1 0.2160 0.2160 0.0000  6 Cu 2.53-2.60
Ge2 0.7840 0.7840 0.0000  6 Cu 2.53-2.60
Ge3 0.6946 0.5000 0.1946  2 Cu 2.47, 1 Ge 2.58
Ge4 0.3054 0.5000 0.8054  2 Cu 2.47, 1 Ge 2.58
Lu1 0.0000 0.0000 0.0000  6 Ge 2.91-3.00

ρ, g/cm³: 9.0
Space group: Immm (71)
Spin magnetization, μB per formula unit: 0.00
E, eV/atom: -4.899

=====

VASP calculation (PBE) on crystalline DyLu2Cu4Si2Ge2 at its relaxed geometry.

Cell lengths 7.8521, 7.8521, 7.8521 Å; angles 149.87, 130.30, 59.23 degrees
With the nearest neighbours (Å) after each atom.
Atoms (fractional coordinates):
Cu1 0.6332 0.3249 0.3084  3 Si 2.47-2.51, 1 Ge 2.51, 1 Cu 2.53
Cu2 0.9835 0.6751 0.3084  3 Si 2.47-2.51, 1 Ge 2.51, 1 Cu 2.53
Cu3 0.0165 0.3249 0.6916  3 Si 2.47-2.51, 1 Ge 2.51, 1 Cu 2.53
Cu4 0.3668 0.6751 0.6916  3 Si 2.47-2.51, 1 Ge 2.51, 1 Cu 2.53
Dy1 0.0000 0.0000 0.0000  4 Ge 2.88, 2 Si 2.97
Ge1 0.6918 0.5000 0.1918  2 Cu 2.51, 1 Ge 2.53
Ge2 0.3082 0.5000 0.8082  2 Cu 2.51, 1 Ge 2.53
Lu1 0.6290 0.1290 0.5000  2 Si 2.92, 6 Cu 2.95-2.96, 4 Ge 2.98
Lu2 0.3710 0.8710 0.5000  2 Si 2.92, 6 Cu 2.95-2.96, 4 Ge 2.98
Si1 0.2179 0.2179 0.0000  6 Cu 2.47-2.51
Si2 0.7821 0.7821 0.0000  6 Cu 2.47-2.51

ρ, g/cm³: 8.7
Space group: Immm (71)
Spin magnetization, μB per formula unit: 0.01
E, eV/atom: -5.052
Offset from the most stable computed form, meV per atom: 0.0